Pm12PrSm6: relaxed, PBE.

## Properties
energy relative to the lowest polymorph listed for this composition: 0.000 eV per atom
mass density: 7.1 Mg/m³
calculated volume: 34.34 Å³ per atom
total magnetic moment: 0.00 Bohr magnetons per cell
energy of formation from the pure elements: 0.013 eV/atom

```
data_Pm12PrSm6
_cell_length_a 8.9436
_cell_length_b 9.6498
_cell_length_c 9.6498
_cell_angle_alpha 69.09
_cell_angle_beta 72.00
_cell_angle_gamma 108.00
_symmetry_space_group_name_H-M 'P 1'
_symmetry_Int_Tables_number 1
loop_
_symmetry_equiv_pos_as_xyz
'x,y,z'
loop_
_atom_site_label
_atom_site_fract_x
_atom_site_fract_y
_atom_site_fract_z
Pm1 0.3167 0.1060 0.1580
Pm2 0.8943 0.6307 0.9470
Pm3 0.7892 0.2640 0.8940
Pm4 0.7364 0.5777 0.3693
Pm5 0.8412 0.9470 0.4223
Pm6 0.2108 0.7360 0.1060
Pm7 0.6833 0.8940 0.8420
Pm8 0.1588 0.0530 0.5777
Pm9 0.1057 0.3693 0.0530
Pm10 0.4748 0.1580 0.7360
Pm11 0.5252 0.8420 0.2640
Pm12 0.2636 0.4223 0.6307
Sm1 0.3682 0.7894 0.6842
Sm2 0.6318 0.2106 0.3158
Sm3 0.9476 0.3158 0.4736
Sm4 0.0524 0.6842 0.5264
Sm5 0.4212 0.4736 0.2106
Sm6 0.5788 0.5264 0.7894
Pr1 0.0000 0.0000 0.0000
```

Ca2La2Sn: relaxed, PBE.

## Properties
mass density: 4.2 Mg/m³
calculated volume: 37.43 Å³ per atom
total magnetic moment: 0.00 Bohr magnetons per cell
energy of formation from the pure elements: -0.077 eV/atom

```
data_Ca2La2Sn
_cell_length_a 8.2034
_cell_length_b 8.2034
_cell_length_c 5.5615
_cell_angle_alpha 90.00
_cell_angle_beta 90.00
_cell_angle_gamma 90.00
_symmetry_space_group_name_H-M 'P 1'
_symmetry_Int_Tables_number 1
loop_
_symmetry_equiv_pos_as_xyz
'x,y,z'
loop_
_atom_site_label
_atom_site_fract_x
_atom_site_fract_y
_atom_site_fract_z
La1 0.8701 0.6299 0.0000
La2 0.6299 0.1299 0.0000
La3 0.3701 0.8701 0.0000
La4 0.1299 0.3701 0.0000
Ca1 0.1718 0.6718 0.5000
Ca2 0.8282 0.3282 0.5000
Ca3 0.6718 0.8282 0.5000
Ca4 0.3282 0.1718 0.5000
Sn1 0.5000 0.5000 0.0000
Sn2 0.0000 0.0000 0.0000
```

LaYNiPd: relaxed, PBE.

## Properties
energy relative to the lowest polymorph listed for this composition: 0.082 eV per atom
mass density: 7.3 Mg/m³
calculated volume: 22.40 Å³ per atom
total magnetic moment: 0.00 Bohr magnetons per cell
energy of formation from the pure elements: -0.518 eV/atom

```
data_LaYNiPd
_cell_length_a 5.0231
_cell_length_b 5.0231
_cell_length_c 5.0231
_cell_angle_alpha 60.00
_cell_angle_beta 60.00
_cell_angle_gamma 60.00
_symmetry_space_group_name_H-M 'P 1'
_symmetry_Int_Tables_number 1
loop_
_symmetry_equiv_pos_as_xyz
'x,y,z'
loop_
_atom_site_label
_atom_site_fract_x
_atom_site_fract_y
_atom_site_fract_z
Pd1 0.0000 0.0000 0.0000
La1 0.7500 0.7500 0.7500
Y1 0.2500 0.2500 0.2500
Ni1 0.5000 0.5000 0.5000
```

PrNdGeAu: relaxed, PBE.

## Properties
energy relative to the lowest polymorph listed for this composition: 0.074 eV per atom
mass density: 8.9 Mg/m³
calculated volume: 25.84 Å³ per atom
total magnetic moment: 0.84 Bohr magnetons per cell
energy of formation from the pure elements: -0.713 eV/atom

```
data_PrNdGeAu
_cell_length_a 5.2677
_cell_length_b 5.2677
_cell_length_c 5.2677
_cell_angle_alpha 60.00
_cell_angle_beta 60.00
_cell_angle_gamma 60.00
_symmetry_space_group_name_H-M 'P 1'
_symmetry_Int_Tables_number 1
loop_
_symmetry_equiv_pos_as_xyz
'x,y,z'
loop_
_atom_site_label
_atom_site_fract_x
_atom_site_fract_y
_atom_site_fract_z
Pr1 0.0000 0.0000 0.0000
Ge1 0.2500 0.2500 0.2500
Au1 0.7500 0.7500 0.7500
Nd1 0.5000 0.5000 0.5000
```